[1]
The following is a DFT calculation (PBE-GGA) of an optimized crystal structure of SbTeSCl2.

Cell lengths 5.3792, 5.3792, 5.1775 Å; angles 90.00, 90.00, 90.00 degrees
With the nearest neighbours (Å) after each atom.
Space group P4/mmm (No. 123)
Unique sites:
Sb 0.0000 0.0000 0.0000  2 S 2.59, 4 Cl 2.69
Te 0.5000 0.5000 0.5000  8 Cl 3.73, 4 S 3.80
S 0.0000 0.0000 0.5000  2 Sb 2.59
Cl 0.0000 0.5000 0.0000  2 Sb 2.69

Summary:
Calculated volume: 30.0 A^3/atom
Energy above the most stable polymorph in this dataset: 0.0 kJ/mol of atoms
Uncorrected energy: -14.64 eV per cell
Formation energy from raw total energies: 89.0 meV/atom

=====

[2]
The following is a DFT calculation (PBE-GGA) of an optimized crystal structure of SbTeSCl2.

Cell lengths 5.2355, 5.2355, 5.4233 Å; angles 90.00, 90.00, 90.00 degrees
With the nearest neighbours (Å) after each atom.
Space group P4/mmm (No. 123)
Unique sites:
Sb 0.0000 0.0000 0.0000  4 S 3.70, 8 Cl 3.77
Te 0.5000 0.5000 0.5000  4 Cl 2.62, 2 S 2.71
S 0.5000 0.5000 0.0000  2 Te 2.71
Cl 0.0000 0.5000 0.5000  2 Te 2.62

Summary:
Calculated volume: 29.7 A^3/atom
Energy above the most stable polymorph in this dataset: 21.4 kJ/mol of atoms
Uncorrected energy: -13.53 eV per cell
Formation energy from raw total energies: 310.6 meV/atom

=====

[3]
The following is a DFT calculation (PBE-GGA) of an optimized crystal structure of SbTe2SCl.

Cell lengths 5.2670, 5.2670, 5.3215 Å; angles 90.00, 90.00, 90.00 degrees
With the nearest neighbours (Å) after each atom.
Space group P4/mmm (No. 123)
Unique sites:
Sb 0.0000 0.0000 0.0000  2 S 2.66
Te 0.0000 0.5000 0.5000  2 S 2.63
S 0.0000 0.0000 0.5000  4 Te 2.63, 2 Sb 2.66
Cl 0.5000 0.5000 0.0000  4 Sb 3.72, 8 Te 3.74

Summary:
Calculated volume: 29.5 A^3/atom
Energy above the most stable polymorph in this dataset: 0.0 kJ/mol of atoms
Uncorrected energy: -14.05 eV per cell
Formation energy from raw total energies: 465.1 meV/atom

=====

[4]
The following is a DFT calculation (PBE-GGA) of an optimized crystal structure of TlSbS2Cl.

Cell lengths 5.1784, 5.1784, 5.0776 Å; angles 90.00, 90.00, 90.00 degrees
With the nearest neighbours (Å) after each atom.
Space group P4/mmm (No. 123)
Unique sites:
Tl 0.0000 0.0000 0.0000  2 Cl 2.54, 4 S 2.59
Sb 0.5000 0.5000 0.5000  8 S 3.63, 4 Cl 3.66
S 0.0000 0.5000 0.0000  2 Tl 2.59
Cl 0.0000 0.0000 0.5000  2 Tl 2.54

Summary:
Calculated volume: 27.2 A^3/atom
Energy above the most stable polymorph in this dataset: 64.7 kJ/mol of atoms
Uncorrected energy: -14.51 eV per cell
Formation energy from raw total energies: 415.2 meV/atom

=====

[5]
The following is a DFT calculation (PBE-GGA) of an optimized crystal structure of TlSbS2Cl.

Cell lengths 5.1045, 5.1045, 5.4363 Å; angles 90.00, 90.00, 90.00 degrees
With the nearest neighbours (Å) after each atom.
Space group P4/mmm (No. 123)
Unique sites:
Tl 0.0000 0.0000 0.0000  4 Cl 3.61, 8 S 3.73
Sb 0.5000 0.5000 0.5000  4 S 2.55, 2 Cl 2.72
S 0.0000 0.5000 0.5000  2 Sb 2.55
Cl 0.5000 0.5000 0.0000  2 Sb 2.72

Summary:
Calculated volume: 28.3 A^3/atom
Energy above the most stable polymorph in this dataset: 0.0 kJ/mol of atoms
Uncorrected energy: -17.87 eV per cell
Formation energy from raw total energies: -255.8 meV/atom

=====

[6]
The following is a DFT calculation (PBE-GGA) of an optimized crystal structure of TlSbSCl2.

Cell lengths 5.2645, 5.2645, 5.3205 Å; angles 90.00, 90.00, 90.00 degrees
With the nearest neighbours (Å) after each atom.
Space group P4/mmm (No. 123)
Unique sites:
Tl 0.0000 0.0000 0.0000  4 Cl 2.63, 2 S 2.66
Sb 0.5000 0.5000 0.5000  4 S 3.72, 8 Cl 3.74
S 0.0000 0.0000 0.5000  2 Tl 2.66
Cl 0.0000 0.5000 0.0000  2 Tl 2.63

Summary:
Calculated volume: 29.5 A^3/atom
Energy above the most stable polymorph in this dataset: 69.6 kJ/mol of atoms
Uncorrected energy: -13.47 eV per cell
Formation energy from raw total energies: 167.3 meV/atom